<one>
First-principles (GGA+U) data for an optimized crystal structure of MnOsO2, as listed in Alexandria via LeMat-Bulk.

Calculated values
- theoretical density (Mg/m³) = 9.63

a b c (Å): 4.563 4.563 5.609
angles (deg): 66.00 66.00 90.00
Each line ends with the local moment (μB).
Atoms (fractional coordinates):
Mn1 0.250 0.750 0.500  0.65
O1 0.599 0.125 0.250  0.01
Mn2 0.500 0.500 0.000  0.67
Os1 0.000 0.000 0.000  0.02
O2 0.875 0.849 0.750  0.01
O3 0.151 0.625 0.250  0.01
O4 0.375 0.401 0.750  0.01
Os2 0.750 0.250 0.500  0.01

<two>
First-principles (GGA+U) data for an optimized crystal structure of MnOsO2, as listed in Alexandria via LeMat-Bulk.

Calculated values
- theoretical density (Mg/m³) = 9.81

a b c (Å): 6.567 6.567 6.567
angles (deg): 25.70 25.70 25.70
Each line ends with the local moment (μB).
Atoms (fractional coordinates):
Mn1 0.500 0.500 0.500  4.41
O1 0.101 0.101 0.101  -0.01
Os1 0.000 0.000 0.000  -0.02
O2 0.899 0.899 0.899  -0.01

<three>
First-principles (GGA+U) data for an optimized crystal structure of MnOsO2, as listed in Alexandria via LeMat-Bulk.

Calculated values
- theoretical density (Mg/m³) = 10.73

a b c (Å): 3.930 3.930 3.930
angles (deg): 60.00 60.00 60.00
Each line ends with the local moment (μB).
Atoms (fractional coordinates):
O1 0.750 0.750 0.750  0.06
Os1 0.500 0.500 0.500  0.30
Mn1 0.000 0.000 0.000  4.53
O2 0.250 0.250 0.250  0.06

Going by the computed energies, the most stable comes first: <two>, <three>, <one>.

<one>
First-principles (GGA+U) data for an optimized crystal structure of Mn2PO2, as listed in Alexandria via LeMat-Bulk.

Calculated values
- theoretical density (Mg/m³) = 4.82

a b c (Å): 6.517 6.517 2.802
angles (deg): 90.00 90.00 90.00
Each line ends with the local moment (μB).
Atoms (fractional coordinates):
O1 0.639 0.861 0.500  -0.09
Mn1 0.153 0.347 0.000  4.33
Mn2 0.653 0.153 0.000  4.33
Mn3 0.347 0.847 0.000  4.33
P1 0.500 0.500 0.000  -0.46
P2 0.000 0.000 0.000  -0.46
O2 0.361 0.139 0.500  -0.09
O3 0.139 0.639 0.500  -0.09
Mn4 0.847 0.653 0.000  4.33
O4 0.861 0.361 0.500  -0.09

<two>
First-principles (GGA+U) data for an optimized crystal structure of Mn2PO2, as listed in Alexandria via LeMat-Bulk.

Calculated values
- theoretical density (Mg/m³) = 4.09

a b c (Å): 3.600 3.600 5.981
angles (deg): 72.49 72.49 90.00
Each line ends with the local moment (μB).
Atoms (fractional coordinates):
Mn1 0.660 0.660 0.681  4.31
Mn2 0.340 0.340 0.319  4.31
O1 0.250 0.750 0.500  -0.22
P1 0.000 0.000 0.000  -0.46
O2 0.750 0.250 0.500  -0.22

Going by the computed energies, the most stable comes first: <two>, <one>.

<one>
First-principles (GGA+U) data for an optimized crystal structure of MnP2O2, as listed in Alexandria via LeMat-Bulk.

Calculated values
- theoretical density (Mg/m³) = 3.74

a b c (Å): 4.402 4.402 3.409
angles (deg): 90.00 90.00 90.00
Each line ends with the local moment (μB).
Atoms (fractional coordinates):
Mn1 0.000 0.000 0.000  0.07
O1 0.500 0.500 0.500  -0.01
P1 0.000 0.500 0.000  -0.01
O2 0.000 0.000 0.500  0.01
P2 0.500 0.000 0.000  -0.01

<two>
First-principles (GGA+U) data for an optimized crystal structure of MnP2O2, as listed in Alexandria via LeMat-Bulk.

Calculated values
- theoretical density (Mg/m³) = 3.31

a b c (Å): 3.646 3.646 5.611
angles (deg): 90.00 90.00 90.00
Each line ends with the local moment (μB).
Atoms (fractional coordinates):
P1 0.500 0.000 0.000  -0.04
O1 0.000 0.000 0.500  -0.03
P2 0.000 0.500 0.000  -0.04
O2 0.000 0.000 0.000  -0.02
Mn1 0.500 0.500 0.500  4.65

<three>
First-principles (GGA+U) data for an optimized crystal structure of MnP2O2, as listed in Alexandria via LeMat-Bulk.

Calculated values
- theoretical density (Mg/m³) = 3.49

a b c (Å): 3.624 3.624 5.388
angles (deg): 90.00 90.00 90.00
Each line ends with the local moment (μB).
Atoms (fractional coordinates):
P1 0.500 0.500 0.500  0.30
O1 0.000 0.500 0.000  -0.20
Mn1 0.000 0.000 0.000  3.35
O2 0.500 0.000 0.000  -0.20
P2 0.000 0.000 0.500  -0.15

<four>
First-principles (GGA+U) data for an optimized crystal structure of MnP2O2, as listed in Alexandria via LeMat-Bulk.

Calculated values
- theoretical density (Mg/m³) = 4.13

a b c (Å): 3.520 3.520 4.836
angles (deg): 90.00 90.00 90.00
Each line ends with the local moment (μB).
Atoms (fractional coordinates):
Mn1 0.500 0.500 0.500  4.40
P1 0.000 0.000 0.500  -0.14
O1 0.000 0.500 0.000  0.02
O2 0.500 0.000 0.000  0.02
P2 0.000 0.000 0.000  0.03

Going by the computed energies, the most stable comes first: <four>, <three>, <two>, <one>.

<one>
First-principles (GGA+U) data for an optimized crystal structure of Mn2PO5, as listed in Alexandria via LeMat-Bulk.

Calculated values
- theoretical density (Mg/m³) = 3.68

a b c (Å): 5.098 6.516 6.979
angles (deg): 110.78 101.69 103.91
Each line ends with the local moment (μB).
Atoms (fractional coordinates):
O1 0.062 0.221 0.942  0.03
O2 0.298 0.267 0.322  0.04
P1 0.826 0.615 0.814  0.02
O3 0.583 0.390 0.778  -0.01
O4 0.771 0.041 0.464  -0.11
O5 0.229 0.959 0.536  -0.11
O6 0.938 0.779 0.058  0.03
Mn1 0.363 0.946 0.254  4.57
O7 0.073 0.550 0.739  0.00
O8 0.702 0.733 0.678  0.04
O9 0.417 0.610 0.222  -0.01
P2 0.174 0.385 0.186  0.02
Mn2 0.637 0.054 0.746  4.57
Mn3 0.161 0.263 0.619  4.10
Mn4 0.839 0.737 0.381  4.10
O10 0.927 0.450 0.261  0.00

<two>
First-principles (GGA+U) data for an optimized crystal structure of Mn2PO5, as listed in Alexandria via LeMat-Bulk.

Calculated values
- theoretical density (Mg/m³) = 4.07

a b c (Å): 3.903 5.338 9.295
angles (deg): 90.00 90.00 111.44
Each line ends with the local moment (μB).
Atoms (fractional coordinates):
Mn1 0.856 0.711 0.078  4.38
O1 0.064 0.128 0.125  -0.04
O2 0.701 0.401 0.884  0.01
O3 0.299 0.599 0.116  0.01
O4 0.701 0.401 0.616  0.01
Mn2 0.144 0.289 0.922  4.38
O5 0.064 0.128 0.375  -0.04
P1 0.821 0.642 0.750  0.04
O6 0.936 0.872 0.875  -0.04
O7 0.936 0.872 0.625  -0.04
Mn3 0.856 0.711 0.422  4.38
O8 0.299 0.599 0.384  0.01
O9 0.718 0.435 0.250  -0.08
O10 0.282 0.565 0.750  -0.08
P2 0.179 0.358 0.250  0.04
Mn4 0.144 0.289 0.578  4.38

<three>
First-principles (GGA+U) data for an optimized crystal structure of Mn2PO5, as listed in Alexandria via LeMat-Bulk.

Calculated values
- theoretical density (Mg/m³) = 3.82

a b c (Å): 5.565 7.365 5.548
angles (deg): 67.81 90.18 112.26
Each line ends with the local moment (μB).
Atoms (fractional coordinates):
Mn1 0.000 0.000 0.500  4.55
O1 0.806 0.111 0.711  0.03
Mn2 0.500 0.500 0.500  4.17
P1 0.127 0.754 0.123  0.03
O2 0.706 0.383 0.808  0.01
O3 0.805 0.111 0.178  0.03
Mn3 0.500 0.500 0.000  4.18
O4 0.294 0.617 0.192  0.01
O5 0.194 0.889 0.289  0.03
O6 0.385 0.270 0.365  -0.13
O7 0.824 0.617 0.191  0.02
O8 0.176 0.383 0.809  0.02
O9 0.195 0.889 0.822  0.03
Mn4 0.500 0.000 0.500  4.55
O10 0.615 0.730 0.635  -0.13
P2 0.873 0.246 0.877  0.03

Going by the computed energies, the most stable comes first: <three>, <one>, <two>.

<one>
First-principles (GGA+U) data for an optimized crystal structure of MnP3O9, as listed in Alexandria via LeMat-Bulk.

Calculated values
- theoretical density (Mg/m³) = 3.03

a b c (Å): 8.421 8.444 8.989
angles (deg): 90.00 90.00 90.00
Each line ends with the local moment (μB).
Atoms (fractional coordinates):
P1 0.175 0.492 0.196  0.01
O1 0.311 0.913 0.644  -0.02
P2 0.034 0.322 0.694  0.01
O2 0.713 0.130 0.936  -0.01
O3 0.457 0.228 0.150  0.00
O4 0.912 0.383 0.589  0.01
Mn1 0.861 0.362 0.352  3.88
P3 0.204 0.803 0.557  0.01
Mn2 0.139 0.862 0.148  3.88
O5 0.588 0.617 0.089  0.01
O6 0.689 0.413 0.856  -0.02
O7 0.096 0.635 0.127  -0.02
O8 0.339 0.166 0.900  0.02
O9 0.839 0.334 0.100  0.02
P4 0.704 0.697 0.443  0.01
O10 0.151 0.461 0.754  0.00
O11 0.596 0.865 0.873  -0.02
O12 0.189 0.087 0.144  -0.02
O13 0.811 0.587 0.356  -0.02
P5 0.796 0.303 0.943  0.01
O14 0.865 0.685 0.861  -0.03
P6 0.825 0.992 0.304  0.01
O15 0.213 0.370 0.064  -0.01
P7 0.675 0.008 0.804  0.01
Mn3 0.639 0.638 0.852  3.88
O16 0.365 0.815 0.139  -0.03
P8 0.966 0.822 0.806  0.01
O17 0.635 0.315 0.361  -0.03
P9 0.466 0.678 0.194  0.01
O18 0.088 0.883 0.911  0.01
O19 0.409 0.591 0.822  -0.01
P10 0.325 0.508 0.696  0.01
O20 0.091 0.409 0.322  -0.01
O21 0.591 0.091 0.678  -0.01
O22 0.135 0.185 0.639  -0.03
Mn4 0.361 0.138 0.648  3.88
O23 0.651 0.039 0.246  0.00
O24 0.349 0.539 0.254  0.00
O25 0.543 0.728 0.350  0.00
O26 0.849 0.961 0.746  0.00
O27 0.904 0.135 0.373  -0.02
O28 0.287 0.630 0.564  -0.01
O29 0.661 0.666 0.600  0.02
O30 0.787 0.870 0.436  -0.01
O31 0.412 0.117 0.411  0.01
O32 0.043 0.772 0.650  0.00
P11 0.296 0.197 0.057  0.01
O33 0.957 0.272 0.850  0.00
P12 0.534 0.178 0.306  0.01
O34 0.909 0.909 0.178  -0.01
O35 0.161 0.834 0.400  0.02
O36 0.404 0.365 0.627  -0.02

<two>
First-principles (GGA+U) data for an optimized crystal structure of MnP3O9, as listed in Alexandria via LeMat-Bulk.

Calculated values
- theoretical density (Mg/m³) = 2.83

a b c (Å): 7.039 7.037 7.224
angles (deg): 85.42 106.12 91.52
Each line ends with the local moment (μB).
Atoms (fractional coordinates):
P1 0.480 0.649 0.225  0.01
O1 0.977 0.494 0.227  -0.03
O2 0.333 0.880 0.660  -0.02
O3 0.824 0.822 0.060  -0.03
Mn1 0.418 0.160 0.141  3.88
O4 0.276 0.053 0.323  -0.01
O5 0.564 0.187 0.936  0.00
O6 0.039 0.806 0.400  -0.01
Mn2 0.582 0.840 0.859  3.88
O7 0.667 0.120 0.340  -0.02
P2 0.261 0.870 0.443  0.01
O8 0.622 0.299 0.613  0.00
P3 0.109 0.322 0.761  0.00
O9 0.378 0.701 0.387  0.00
P4 0.891 0.678 0.239  0.00
O10 0.709 0.661 0.339  0.00
O11 0.291 0.339 0.661  0.00
O12 0.580 0.547 0.829  0.04
P5 0.739 0.130 0.557  0.01
O13 0.436 0.813 0.064  0.00
O14 0.419 0.453 0.171  0.04
O15 0.961 0.194 0.600  -0.01
O16 0.724 0.947 0.677  -0.01
P6 0.520 0.351 0.775  0.01
O17 0.176 0.178 0.940  -0.03
O18 0.023 0.506 0.773  -0.03

Going by the computed energies, the most stable comes first: <one>, <two>.

<one>
First-principles (GGA+U) data for an optimized crystal structure of Mn3P2O8, as listed in Alexandria via LeMat-Bulk.

Calculated values
- theoretical density (Mg/m³) = 3.54

a b c (Å): 4.954 10.736 6.264
angles (deg): 90.14 90.00 90.00
Each line ends with the local moment (μB).
Atoms (fractional coordinates):
O1 0.781 0.339 0.537  0.05
O2 0.174 0.465 0.254  0.04
O3 0.281 0.161 0.463  0.05
O4 0.258 0.891 0.719  0.03
O5 0.674 0.035 0.746  0.04
O6 0.326 0.965 0.254  0.04
P1 0.931 0.398 0.738  0.02
O7 0.742 0.109 0.282  0.03
Mn1 0.500 0.500 0.500  4.66
Mn2 0.488 0.217 0.765  4.67
Mn3 0.012 0.717 0.765  4.67
O8 0.826 0.535 0.746  0.04
O9 0.242 0.391 0.718  0.03
O10 0.174 0.681 0.073  0.04
Mn4 0.512 0.783 0.235  4.67
O11 0.326 0.181 0.073  0.04
Mn5 0.988 0.283 0.235  4.67
O12 0.674 0.819 0.927  0.04
P2 0.069 0.602 0.262  0.02
O13 0.758 0.609 0.281  0.03
P3 0.569 0.898 0.738  0.02
O14 0.219 0.661 0.463  0.05
P4 0.431 0.102 0.262  0.02
Mn6 0.000 0.000 0.500  4.66
O15 0.826 0.319 0.927  0.04
O16 0.719 0.839 0.537  0.05

<two>
First-principles (GGA+U) data for an optimized crystal structure of Mn3P2O8, as listed in Alexandria via LeMat-Bulk.

Calculated values
- theoretical density (Mg/m³) = 3.98

a b c (Å): 6.257 6.547 8.218
angles (deg): 90.00 90.00 118.54
Each line ends with the local moment (μB).
Atoms (fractional coordinates):
O1 0.734 0.469 0.216  0.05
P1 0.619 0.238 0.115  0.03
O2 0.766 0.531 0.716  0.05
O3 0.588 0.764 0.990  0.04
O4 0.513 0.025 0.239  0.05
O5 0.234 0.469 0.284  0.05
O6 0.487 0.975 0.761  0.05
O7 0.824 0.236 0.010  0.04
P2 0.119 0.238 0.385  0.03
O8 0.912 0.236 0.490  0.04
O9 0.324 0.236 0.490  0.04
Mn1 0.604 0.707 0.250  4.64
O10 0.412 0.236 0.010  0.04
Mn2 0.000 0.000 0.000  4.65
O11 0.676 0.764 0.510  0.04
O12 0.088 0.764 0.510  0.04
Mn3 0.396 0.293 0.750  4.64
Mn4 0.500 0.000 0.500  4.65
O13 0.266 0.531 0.784  0.05
O14 0.176 0.764 0.990  0.04
P3 0.881 0.762 0.615  0.03
P4 0.381 0.762 0.885  0.03
Mn5 0.104 0.707 0.250  4.64
O15 0.013 0.025 0.261  0.05
Mn6 0.896 0.293 0.750  4.64
O16 0.987 0.975 0.739  0.05

Going by the computed energies, the most stable comes first: <one>, <two>.

<one>
First-principles (GGA+U) data for an optimized crystal structure of Mn3P2O8, as listed in Alexandria via LeMat-Bulk.

Calculated values
- theoretical density (Mg/m³) = 3.22

a b c (Å): 5.255 8.795 7.929
angles (deg): 90.00 86.83 90.00
Each line ends with the local moment (μB).
Atoms (fractional coordinates):
O1 0.796 0.807 0.870  0.04
Mn1 0.500 0.500 0.500  4.68
Mn2 0.415 0.144 0.618  4.65
Mn3 0.915 0.356 0.118  4.65
Mn4 0.000 0.000 0.000  4.68
O2 0.821 0.644 0.430  0.04
O3 0.963 0.420 0.857  0.04
O4 0.296 0.693 0.370  0.04
O5 0.051 0.146 0.764  0.04
O6 0.037 0.580 0.143  0.04
O7 0.179 0.356 0.570  0.04
O8 0.949 0.854 0.236  0.04
P1 0.030 0.693 0.295  0.02
O9 0.204 0.193 0.130  0.04
P2 0.470 0.193 0.205  0.02
Mn5 0.085 0.644 0.882  4.65
Mn6 0.585 0.856 0.382  4.65
O10 0.551 0.354 0.264  0.04
P3 0.970 0.307 0.705  0.02
O11 0.463 0.080 0.357  0.04
O12 0.321 0.856 0.930  0.04
O13 0.537 0.920 0.643  0.04
O14 0.679 0.144 0.070  0.04
O15 0.704 0.307 0.630  0.04
O16 0.449 0.646 0.736  0.04
P4 0.530 0.807 0.795  0.02

<two>
First-principles (GGA+U) data for an optimized crystal structure of Mn3P2O8, as listed in Alexandria via LeMat-Bulk.

Calculated values
- theoretical density (Mg/m³) = 3.60

a b c (Å): 6.779 5.317 10.134
angles (deg): 63.48 90.00 90.00
Each line ends with the local moment (μB).
Atoms (fractional coordinates):
Mn1 0.342 0.214 0.872  4.66
P1 0.332 0.843 0.692  0.02
O1 0.656 0.131 0.912  0.04
O2 0.344 0.869 0.088  0.04
O3 0.513 0.736 0.637  0.04
O4 0.987 0.736 0.137  0.04
P2 0.832 0.157 0.808  0.02
O5 0.156 0.869 0.588  0.04
O6 0.372 0.140 0.683  0.03
O7 0.872 0.860 0.817  0.03
O8 0.290 0.630 0.855  0.03
O9 0.844 0.131 0.412  0.04
Mn2 0.500 0.500 0.500  4.68
O10 0.710 0.370 0.145  0.03
P3 0.668 0.157 0.308  0.02
Mn3 0.658 0.786 0.128  4.66
O11 0.210 0.630 0.355  0.03
O12 0.628 0.860 0.317  0.03
O13 0.128 0.140 0.183  0.03
Mn4 0.842 0.786 0.628  4.66
O14 0.790 0.370 0.645  0.03
O15 0.487 0.264 0.363  0.04
O16 0.013 0.264 0.863  0.04
Mn5 0.000 0.500 0.000  4.68
Mn6 0.158 0.214 0.372  4.66
P4 0.168 0.843 0.192  0.02

Going by the computed energies, the most stable comes first: <one>, <two>.